1.
# VCd2TeOs, relaxed, DFT PBE-GGA
# * uncorrected formation energy: 1658 meV per atom
# * Fermi-level density of states: 1.1485 states/eV per atom
# * symmetry: P4/mmm
data_VCd2TeOs
_chemical_formula_sum 'V1 Cd2 Te1 Os1'
_space_group_name_H-M_alt 'P 1'
_space_group_IT_number 1
_cell_length_a 5.4621
_cell_length_b 5.4621
_cell_length_c 4.8346
_cell_angle_alpha 90.00
_cell_angle_beta 90.00
_cell_angle_gamma 90.00
loop_
_space_group_symop_operation_xyz
'x,y,z'
loop_
_atom_site_label
_atom_site_type_symbol
_atom_site_fract_x
_atom_site_fract_y
_atom_site_fract_z
V1 V 0.0000 0.0000 0.0000
Cd1 Cd 0.0000 0.5000 0.5000
Cd2 Cd 0.5000 0.0000 0.5000
Te1 Te 0.5000 0.5000 0.5000
Os1 Os 0.5000 0.5000 0.0000

2.
# Zr2CdTeOs, relaxed, DFT PBE-GGA
# * uncorrected formation energy: 450 meV per atom
# * Fermi-level density of states: 1.0104 states/eV per atom
# * symmetry: P4/mmm
data_Zr2CdTeOs
_chemical_formula_sum 'Zr2 Cd1 Te1 Os1'
_space_group_name_H-M_alt 'P 1'
_space_group_IT_number 1
_cell_length_a 5.1398
_cell_length_b 5.1398
_cell_length_c 5.0283
_cell_angle_alpha 90.00
_cell_angle_beta 90.00
_cell_angle_gamma 90.00
loop_
_space_group_symop_operation_xyz
'x,y,z'
loop_
_atom_site_label
_atom_site_type_symbol
_atom_site_fract_x
_atom_site_fract_y
_atom_site_fract_z
Zr1 Zr 0.0000 0.5000 0.0000
Zr2 Zr 0.5000 0.0000 0.0000
Cd1 Cd 0.0000 0.0000 0.5000
Te1 Te 0.5000 0.5000 0.5000
Os1 Os 0.5000 0.5000 0.0000